A relaxed structure of TbZr3N. Source: Alexandria, functional PBE.

The structure in extended XYZ format:
```
5
Lattice="0.000 0.202 4.649 -0.009 -4.649 0.202 4.653 -0.009 0.001" Properties=species:S:1:pos:R:3 pbc="T T T"
Tb 2.322 -2.228 2.426
Zr -0.004 -2.324 0.101
Zr 2.327 -0.004 0.000
Zr 0.000 0.101 2.324
N 0.000 0.000 0.000
```

SG: No. 221
Formation energy without anion corrections, kJ/mol of formula units: -276.4
Fermi-level density of states, states/eV/atom: 0.850